(1)
Density functional theory data (GGA-PBE) for crystalline TlAgTe2 at its relaxed geometry.

Cell: 7.7980 4.4002 14.2952 Å, 90.00 90.00 90.00°
With the nearest neighbours (Å) after each atom.
Positions (direct):
Tl (0.1312, 0.2500, 0.1378)  6 Te 3.26-3.50
Tl (0.3688, 0.7500, 0.6378)  6 Te 3.26-3.50
Tl (0.6312, 0.2500, 0.3622)  6 Te 3.26-3.50
Tl (0.8688, 0.7500, 0.8622)  6 Te 3.26-3.50
Ag (0.0602, 0.7500, 0.3865)  5 Te 2.80-2.90
Ag (0.4398, 0.2500, 0.8865)  5 Te 2.80-2.90
Ag (0.5602, 0.7500, 0.1135)  5 Te 2.80-2.90
Ag (0.9398, 0.2500, 0.6135)  5 Te 2.80-2.90
Te (0.1382, 0.2500, 0.7804)  2 Ag 2.80-2.84
Te (0.2153, 0.2500, 0.4878)  3 Ag 2.80-2.90
Te (0.2847, 0.7500, 0.9878)  3 Ag 2.80-2.90
Te (0.3618, 0.7500, 0.2804)  2 Ag 2.80-2.84
Te (0.6382, 0.2500, 0.7196)  2 Ag 2.80-2.84
Te (0.7153, 0.2500, 0.0122)  3 Ag 2.80-2.90
Te (0.7847, 0.7500, 0.5122)  3 Ag 2.80-2.90
Te (0.8618, 0.7500, 0.2196)  2 Ag 2.80-2.84

Results
The value obtained for the density is 7.68 Mg/m³. The uncorrected formation energy is -0.033 eV per atom. As for the magnetic moment: 0.0 μB/f.u. Its density of states at the Fermi level is 2.889 states/eV/f.u.

(2)
Density functional theory data (GGA-PBE) for crystalline Cd2P2O7 at its relaxed geometry.

Cell: 6.6864 6.8428 6.9926 Å, 82.43 65.22 81.40°
With the nearest neighbours (Å) after each atom.
Positions (direct):
Cd (0.1150, 0.1664, 0.2507)  6 O 2.21-2.44
Cd (0.2883, 0.3386, 0.6418)  5 O 2.28-2.39
Cd (0.7117, 0.6614, 0.3582)  5 O 2.28-2.39
Cd (0.8850, 0.8336, 0.7493)  6 O 2.21-2.44
P (0.2275, 0.6624, 0.2557)  4 O 1.53-1.61
P (0.3565, 0.8656, 0.8220)  4 O 1.51-1.64
P (0.6435, 0.1344, 0.1780)  4 O 1.51-1.64
P (0.7725, 0.3376, 0.7443)  4 O 1.53-1.61
O (0.0685, 0.8393, 0.3654)  1 P 1.54
O (0.0864, 0.5127, 0.2372)  1 P 1.54
O (0.2081, 0.7538, 0.7716)  1 P 1.51
O (0.2621, 0.0791, 0.8892)  1 P 1.55
O (0.3876, 0.5712, 0.3570)  1 P 1.53
O (0.3936, 0.7438, 0.0243)  2 P 1.61-1.64
O (0.4052, 0.1398, 0.3503)  1 P 1.54
O (0.5948, 0.8602, 0.6497)  1 P 1.54
O (0.6064, 0.2562, 0.9757)  2 P 1.61-1.64
O (0.6124, 0.4288, 0.6430)  1 P 1.53
O (0.7379, 0.9209, 0.1108)  1 P 1.55
O (0.7919, 0.2462, 0.2284)  1 P 1.51
O (0.9136, 0.4873, 0.7628)  1 P 1.54
O (0.9315, 0.1607, 0.6346)  1 P 1.54

Results
The value obtained for the density is 4.62 Mg/m³. The uncorrected formation energy is -1.904 eV per atom. As for the magnetic moment: 0.0 μB/f.u. Its density of states at the Fermi level is 0.000 states/eV/f.u.

(3)
Density functional theory data (GGA-PBE) for crystalline LaSmNi2 at its relaxed geometry.

Cell: 4.9719 4.9719 3.4566 Å, 90.00 90.00 90.00°
With the nearest neighbours (Å) after each atom.
Positions (direct):
La (0.0000, 0.0000, 0.0000)  8 Ni 3.03
Sm (0.5000, 0.5000, 0.0000)  8 Ni 3.03
Ni (0.0000, 0.5000, 0.5000)  4 La 3.03, 4 Sm 3.03
Ni (0.5000, 0.0000, 0.5000)  4 La 3.03, 4 Sm 3.03

Results
The value obtained for the density is 7.90 Mg/m³. The value obtained for the formation energy is -0.257 eV/atom. As for the magnetic moment: 0.0 μB/f.u. Its density of states at the Fermi level is 3.171 states/eV/f.u. As for the energy relative to the lowest polymorph listed for this composition: 90 meV/atom.

(4)
Density functional theory data (GGA-PBE) for crystalline Na5As2Se6 at its relaxed geometry.

Cell: 11.6405 12.9986 4.7130 Å, 90.00 90.00 90.00°
With the nearest neighbours (Å) after each atom.
Positions (direct):
Na (0.0000, 0.0000, 0.0000)  4 Se 3.08
Na (0.0320, 0.2654, 0.0000)  6 Se 3.00-3.23
Na (0.1984, 0.5307, 0.0000)  3 Se 3.01-3.02
Na (0.3016, 0.0307, 0.0000)  3 Se 3.01-3.02
Na (0.4680, 0.7654, 0.0000)  6 Se 3.00-3.23
Na (0.5000, 0.5000, 0.0000)  4 Se 3.08
Na (0.5320, 0.2346, 0.0000)  6 Se 3.00-3.23
Na (0.6984, 0.9693, 0.0000)  3 Se 3.01-3.02
Na (0.8016, 0.4693, 0.0000)  3 Se 3.01-3.02
Na (0.9680, 0.7346, 0.0000)  6 Se 3.00-3.23
As (0.2209, 0.7291, 0.5000)  4 Se 2.41-2.60
As (0.2791, 0.2291, 0.5000)  4 Se 2.41-2.60
As (0.7209, 0.7709, 0.5000)  4 Se 2.41-2.60
As (0.7791, 0.2709, 0.5000)  4 Se 2.41-2.60
Se (0.0627, 0.6093, 0.5000)  1 As 2.41
Se (0.1144, 0.1127, 0.5000)  1 As 2.44
Se (0.2160, 0.8126, 0.0000)  2 As 2.60
Se (0.2840, 0.3126, 0.0000)  2 As 2.60
Se (0.3856, 0.6127, 0.5000)  1 As 2.44
Se (0.4373, 0.1093, 0.5000)  1 As 2.41
Se (0.5627, 0.8907, 0.5000)  1 As 2.41
Se (0.6144, 0.3873, 0.5000)  1 As 2.44
Se (0.7160, 0.6874, 0.0000)  2 As 2.60
Se (0.7840, 0.1874, 0.0000)  2 As 2.60
Se (0.8856, 0.8873, 0.5000)  1 As 2.44
Se (0.9373, 0.3907, 0.5000)  1 As 2.41

Results
The value obtained for the density is 3.44 Mg/m³. The uncorrected formation energy is -0.692 eV per atom. As for the magnetic moment: 0.0 μB/f.u. Its density of states at the Fermi level is 2.290 states/eV/f.u.

(5)
Density functional theory data (GGA-PBE) for crystalline SrHoGaAg at its relaxed geometry.

Cell: 5.2824 5.2824 5.2824 Å, 60.00 60.00 60.00°
With the nearest neighbours (Å) after each atom.
Positions (direct):
Sr (0.0000, 0.0000, 0.0000)  4 Ag 3.23, 4 Ga 3.23
Ho (0.5000, 0.5000, 0.5000)  4 Ag 3.23, 4 Ga 3.23
Ga (0.7500, 0.7500, 0.7500)  4 Ho 3.23, 4 Sr 3.23
Ag (0.2500, 0.2500, 0.2500)  4 Ho 3.23, 4 Sr 3.23

Results
The value obtained for the density is 6.85 Mg/m³. The value obtained for the formation energy is -0.309 eV/atom. As for the magnetic moment: 0.0 μB/f.u. Its density of states at the Fermi level is 4.799 states/eV/f.u.

(6)
Density functional theory data (GGA-PBE) for crystalline PaAlRe at its relaxed geometry.

Cell: 7.7257 7.7257 7.7257 Å, 158.76 158.76 30.21°
With the nearest neighbours (Å) after each atom.
Positions (direct):
Pa (0.0000, 0.0000, 0.0000)  1 Re 2.57, 4 Pa 2.85
Al (0.2086, 0.2086, 0.0000)  4 Re 2.69, 4 Al 2.85
Re (0.8278, 0.8278, 0.0000)  1 Pa 2.57, 4 Al 2.69, 4 Re 2.85

Results
The value obtained for the density is 12.20 Mg/m³. The value obtained for the formation energy is 0.632 eV/atom. As for the magnetic moment: 0.0 μB/f.u. Its density of states at the Fermi level is 3.362 states/eV/f.u. As for the energy relative to the lowest polymorph listed for this composition: 941 meV/atom.

(7)
Density functional theory data (GGA-PBE) for crystalline Pm8Pr2Y at its relaxed geometry.

Cell: 9.0927 9.0927 6.8222 Å, 99.80 99.80 44.27°
With the nearest neighbours (Å) after each atom.
Positions (direct):
Pm (0.0898, 0.0898, 0.9117)  8 Pm 3.43-3.81, 1 Pr 3.75, 2 Y 3.84
Pm (0.1490, 0.6758, 0.5946)  5 Pm 3.24-3.61, 1 Y 3.40, 1 Pr 3.50
Pm (0.2565, 0.2565, 0.6885)  5 Pm 3.34-3.53, 4 Pr 3.41-3.69
Pm (0.3242, 0.8510, 0.4054)  5 Pm 3.24-3.61, 1 Y 3.40, 1 Pr 3.50
Pm (0.6758, 0.1490, 0.5946)  5 Pm 3.24-3.61, 1 Y 3.40, 1 Pr 3.50
Pm (0.7435, 0.7435, 0.3115)  5 Pm 3.34-3.53, 4 Pr 3.41-3.69
Pm (0.8510, 0.3242, 0.4054)  5 Pm 3.24-3.61, 1 Y 3.40, 1 Pr 3.50
Pm (0.9102, 0.9102, 0.0883)  8 Pm 3.43-3.81, 1 Pr 3.75, 2 Y 3.84
Pr (0.3025, 0.3025, 0.1960)  7 Pm 3.41-3.75, 1 Y 3.81
Pr (0.6975, 0.6975, 0.8040)  7 Pm 3.41-3.75, 1 Y 3.81
Y (0.5000, 0.5000, 0.0000)  4 Pm 3.40, 2 Pr 3.81

Results
The value obtained for the density is 6.57 Mg/m³. The value obtained for the formation energy is 0.148 eV/atom. As for the magnetic moment: 0.0 μB/f.u. Its density of states at the Fermi level is 17.917 states/eV/f.u. As for the energy relative to the lowest polymorph listed for this composition: 134 meV/atom.

(8)
Density functional theory data (GGA-PBE) for crystalline BaLi2CuNi at its relaxed geometry.

Cell: 4.6893 4.6893 4.8934 Å, 90.00 90.00 90.00°
With the nearest neighbours (Å) after each atom.
Positions (direct):
Ba (0.0000, 0.0000, 0.0000)  4 Ni 3.32, 8 Li 3.39
Li (0.0000, 0.5000, 0.5000)  2 Cu 2.34
Li (0.5000, 0.0000, 0.5000)  2 Cu 2.34
Cu (0.5000, 0.5000, 0.5000)  4 Li 2.34, 2 Ni 2.45
Ni (0.5000, 0.5000, 0.0000)  2 Cu 2.45

Results
The value obtained for the density is 4.22 Mg/m³. The value obtained for the formation energy is 0.152 eV/atom. As for the magnetic moment: 0.0 μB/f.u. Its density of states at the Fermi level is 2.296 states/eV/f.u. As for the energy relative to the lowest polymorph listed for this composition: 4 meV/atom.

(9)
Density functional theory data (GGA-PBE) for crystalline SrTcNi at its relaxed geometry.

Cell: 4.5843 4.5843 4.5843 Å, 60.00 60.00 60.00°
With the nearest neighbours (Å) after each atom.
Positions (direct):
Sr (0.0000, 0.0000, 0.0000)  4 Ni 2.81
Tc (0.5000, 0.5000, 0.5000)  4 Ni 2.81
Ni (0.7500, 0.7500, 0.7500)  4 Sr 2.81, 4 Tc 2.81

Results
The value obtained for the density is 5.95 Mg/m³. The value obtained for the formation energy is 0.981 eV/atom. As for the magnetic moment: 3.2 μB/f.u. Its density of states at the Fermi level is 3.375 states/eV/f.u. As for the energy relative to the lowest polymorph listed for this composition: 504 meV/atom.

(10)
Density functional theory data (GGA-PBE) for crystalline CeNbP3 at its relaxed geometry.

Cell: 12.1235 5.4820 5.6888 Å, 90.00 90.00 90.00°
With the nearest neighbours (Å) after each atom.
Positions (direct):
Ce (0.1795, 0.0050, 0.2500)  9 P 2.91-3.09
Ce (0.1795, 0.4950, 0.7500)  9 P 2.91-3.09
Ce (0.8205, 0.5050, 0.2500)  9 P 2.91-3.09
Ce (0.8205, 0.9950, 0.7500)  9 P 2.91-3.09
Nb (0.4222, 0.7500, 0.0000)  6 P 2.53-2.64
Nb (0.4222, 0.7500, 0.5000)  6 P 2.53-2.64
Nb (0.5778, 0.2500, 0.0000)  6 P 2.53-2.64
Nb (0.5778, 0.2500, 0.5000)  6 P 2.53-2.64
P (0.0014, 0.7500, 0.0000)  4 P 2.74-2.84, 4 Ce 2.94
P (0.0014, 0.7500, 0.5000)  4 P 2.74-2.84, 4 Ce 2.94
P (0.2794, 0.0030, 0.7500)  1 P 2.57, 2 Nb 2.64
P (0.2794, 0.4970, 0.2500)  1 P 2.57, 2 Nb 2.64
P (0.4127, 0.1316, 0.2500)  4 Nb 2.53-2.54, 1 P 2.57
P (0.4127, 0.3684, 0.7500)  4 Nb 2.53-2.54, 1 P 2.57
P (0.5873, 0.6316, 0.2500)  4 Nb 2.53-2.54, 1 P 2.57
P (0.5873, 0.8684, 0.7500)  4 Nb 2.53-2.54, 1 P 2.57
P (0.7206, 0.5030, 0.7500)  1 P 2.57, 2 Nb 2.64
P (0.7206, 0.9970, 0.2500)  1 P 2.57, 2 Nb 2.64
P (0.9986, 0.2500, 0.0000)  4 P 2.74-2.84, 4 Ce 2.94
P (0.9986, 0.2500, 0.5000)  4 P 2.74-2.84, 4 Ce 2.94

Results
The value obtained for the density is 5.73 Mg/m³. The value obtained for the formation energy is -0.860 eV/atom. As for the magnetic moment: 0.4 μB/f.u. Its density of states at the Fermi level is 4.994 states/eV/f.u.

(11)
Density functional theory data (GGA-PBE) for crystalline AcTb2Tl at its relaxed geometry.

Cell: 4.9623 5.0173 11.3352 Å, 90.00 102.58 90.00°
With the nearest neighbours (Å) after each atom.
Positions (direct):
Ac (0.1922, 0.2500, 0.3845)  5 Tl 3.39-3.63
Ac (0.8078, 0.7500, 0.6155)  5 Tl 3.39-3.63
Tb (0.0545, 0.7500, 0.1086)  2 Tl 3.33, 8 Tb 3.47-3.55
Tb (0.4397, 0.7500, 0.8796)  2 Tl 3.27, 6 Tb 3.53-3.55
Tb (0.5603, 0.2500, 0.1204)  2 Tl 3.27, 6 Tb 3.53-3.55
Tb (0.9455, 0.2500, 0.8914)  2 Tl 3.33, 8 Tb 3.47-3.55
Tl (0.3455, 0.2500, 0.6905)  4 Tb 3.27-3.33, 5 Ac 3.39-3.63
Tl (0.6545, 0.7500, 0.3095)  4 Tb 3.27-3.33, 5 Ac 3.39-3.63

Results
The value obtained for the density is 9.03 Mg/m³. The value obtained for the formation energy is -0.173 eV/atom. As for the magnetic moment: 0.0 μB/f.u. Its density of states at the Fermi level is 5.838 states/eV/f.u. As for the energy relative to the lowest polymorph listed for this composition: 0 meV/atom.

(12)
Density functional theory data (GGA-PBE) for crystalline MnTcAu at its relaxed geometry.

Cell: 4.1591 4.1591 4.1591 Å, 60.00 60.00 60.00°
With the nearest neighbours (Å) after each atom.
Positions (direct):
Mn (0.0000, 0.0000, 0.0000)  4 Tc 2.55, 4 Au 2.55
Tc (0.2500, 0.2500, 0.2500)  4 Mn 2.55
Au (0.7500, 0.7500, 0.7500)  4 Mn 2.55

Results
The value obtained for the density is 11.42 Mg/m³. The value obtained for the formation energy is 0.511 eV/atom. As for the magnetic moment: 1.9 μB/f.u. Its density of states at the Fermi level is 3.705 states/eV/f.u. As for the energy relative to the lowest polymorph listed for this composition: 287 meV/atom.

Which value of magnetic moment does entry 4 give?
0.0 μB/f.u.